Density functional theory data (SCAN) for ThRh3 at its PBEsol-relaxed geometry.

a = 4.067 Å, b = 4.067 Å, c = 4.067 Å
α = 90.00°, β = 90.00°, γ = 90.00°
Atoms (fractional coordinates):
Rh (0.000, 0.500, 0.500)
Rh (0.500, 0.500, 0.000)
Rh (0.500, 0.000, 0.500)
Th (0.000, 0.000, 0.000)

## Properties
As for the space-group type: No. 221. The energy of formation from the pure elements is -0.746 eV/atom. Its density of states at the Fermi level is 2.912 states/eV/f.u.

=====

Density functional theory data (SCAN) for SrLi2Ti at its PBEsol-relaxed geometry.

a = 5.228 Å, b = 5.228 Å, c = 5.228 Å
α = 60.00°, β = 60.00°, γ = 60.00°
Atoms (fractional coordinates):
Li (0.750, 0.750, 0.750)
Li (0.250, 0.250, 0.250)
Ti (0.000, 0.000, 0.000)
Sr (0.500, 0.500, 0.500)

## Properties
As for the space-group type: No. 225. The energy of formation from the pure elements is 0.480 eV/atom. Its density of states at the Fermi level is 2.537 states/eV/f.u.

=====

Density functional theory data (SCAN) for Ca3GePd at its PBEsol-relaxed geometry.

a = 5.333 Å, b = 5.333 Å, c = 5.333 Å
α = 90.00°, β = 90.00°, γ = 90.00°
Atoms (fractional coordinates):
Pd (0.000, 0.000, 0.000)
Ca (0.000, 0.000, 0.500)
Ca (0.000, 0.500, 0.000)
Ca (0.500, 0.000, 0.000)
Ge (0.500, 0.500, 0.500)

## Properties
As for the space-group type: No. 221. The energy of formation from the pure elements is -0.275 eV/atom. Its density of states at the Fermi level is 2.378 states/eV/f.u.

=====

Density functional theory data (SCAN) for Ca2AsW at its PBEsol-relaxed geometry.

a = 3.346 Å, b = 3.346 Å, c = 8.508 Å
α = 90.00°, β = 90.00°, γ = 90.00°
Atoms (fractional coordinates):
Ca (0.000, 0.000, 0.925)
Ca (0.500, 0.500, 0.317)
W (0.000, 0.000, 0.567)
As (0.500, 0.500, 0.691)

## Properties
As for the space-group type: No. 99. The energy of formation from the pure elements is 0.049 eV/atom. Its density of states at the Fermi level is 2.727 states/eV/f.u.

=====

Density functional theory data (SCAN) for CaCd2 at its PBEsol-relaxed geometry.

a = 5.565 Å, b = 6.576 Å, c = 5.565 Å
α = 64.97°, β = 90.00°, γ = 115.03°
Atoms (fractional coordinates):
Cd (0.678, 0.000, 0.822)
Cd (0.178, 0.000, 0.678)
Cd (0.822, 0.000, 0.322)
Cd (0.322, 0.000, 0.178)
Ca (0.750, 0.500, 0.250)
Ca (0.250, 0.500, 0.750)

## Properties
As for the space-group type: No. 140. The energy of formation from the pure elements is -0.184 eV/atom. Its density of states at the Fermi level is 1.625 states/eV/f.u.

=====

Density functional theory data (SCAN) for NiPtRh2 at its PBEsol-relaxed geometry.

a = 3.755 Å, b = 3.755 Å, c = 4.583 Å
α = 114.18°, β = 114.18°, γ = 90.00°
Atoms (fractional coordinates):
Ni (0.500, 0.500, 0.000)
Rh (0.000, 0.000, 0.000)
Rh (0.750, 0.250, 0.500)
Pt (0.250, 0.750, 0.500)

## Properties
As for the space-group type: No. 119. The energy of formation from the pure elements is -0.057 eV/atom. Its density of states at the Fermi level is 4.333 states/eV/f.u.

=====

Density functional theory data (SCAN) for HfMn2 at its PBEsol-relaxed geometry.

a = 4.838 Å, b = 4.838 Å, c = 15.994 Å
α = 90.00°, β = 90.00°, γ = 120.00°
Atoms (fractional coordinates):
Mn (0.326, 0.163, 0.750)
Mn (0.333, 0.667, 0.126)
Mn (0.500, 0.500, 0.500)
Mn (0.163, 0.326, 0.250)
Mn (0.500, 0.000, 0.500)
Mn (0.500, 0.000, 0.000)
Mn (0.837, 0.674, 0.750)
Mn (0.000, 0.500, 0.000)
Mn (0.667, 0.333, 0.874)
Mn (0.674, 0.837, 0.250)
Mn (0.837, 0.163, 0.750)
Mn (0.163, 0.837, 0.250)
Mn (0.667, 0.333, 0.626)
Mn (0.000, 0.500, 0.500)
Mn (0.333, 0.667, 0.374)
Mn (0.500, 0.500, 0.000)
Hf (0.000, 0.000, 0.407)
Hf (0.000, 0.000, 0.593)
Hf (0.000, 0.000, 0.093)
Hf (0.000, 0.000, 0.907)
Hf (0.333, 0.667, 0.656)
Hf (0.667, 0.333, 0.344)
Hf (0.667, 0.333, 0.156)
Hf (0.333, 0.667, 0.844)

## Properties
As for the space-group type: No. 194. The energy of formation from the pure elements is -0.226 eV/atom. Its density of states at the Fermi level is 2.521 states/eV/f.u.

=====

Density functional theory data (SCAN) for Be2CdTc at its PBEsol-relaxed geometry.

a = 2.706 Å, b = 4.158 Å, c = 5.038 Å
α = 114.38°, β = 105.58°, γ = 90.00°
Atoms (fractional coordinates):
Tc (0.268, 0.768, 0.536)
Cd (0.486, 0.486, 0.973)
Be (0.732, 0.232, 0.465)
Be (0.013, 0.013, 0.026)

## Properties
As for the space-group type: No. 44. The energy of formation from the pure elements is 0.217 eV/atom. Its density of states at the Fermi level is 1.680 states/eV/f.u.

=====

Density functional theory data (SCAN) for SrZn2Pt at its PBEsol-relaxed geometry.

a = 4.716 Å, b = 4.716 Å, c = 4.716 Å
α = 60.00°, β = 60.00°, γ = 60.00°
Atoms (fractional coordinates):
Sr (0.500, 0.500, 0.500)
Zn (0.250, 0.250, 0.250)
Zn (0.750, 0.750, 0.750)
Pt (0.000, 0.000, 0.000)

## Properties
As for the space-group type: No. 225. The energy of formation from the pure elements is -0.302 eV/atom. Its density of states at the Fermi level is 2.836 states/eV/f.u.

=====

Density functional theory data (SCAN) for Be2CuW at its PBEsol-relaxed geometry.

a = 3.996 Å, b = 3.996 Å, c = 3.996 Å
α = 60.00°, β = 60.00°, γ = 60.00°
Atoms (fractional coordinates):
Cu (0.500, 0.500, 0.500)
Be (0.000, 0.000, 0.000)
Be (0.750, 0.750, 0.750)
W (0.250, 0.250, 0.250)

## Properties
As for the space-group type: No. 216. The energy of formation from the pure elements is 0.458 eV/atom. Its density of states at the Fermi level is 3.631 states/eV/f.u.

=====

Density functional theory data (SCAN) for Ti2GaHgPb at its PBEsol-relaxed geometry.

a = 4.773 Å, b = 4.773 Å, c = 5.164 Å
α = 90.00°, β = 90.00°, γ = 90.00°
Atoms (fractional coordinates):
Ti (0.000, 0.500, 0.000)
Ti (0.500, 0.000, 0.000)
Hg (0.500, 0.500, 0.500)
Pb (0.000, 0.000, 0.500)
Ga (0.000, 0.000, 0.000)

## Properties
As for the space-group type: No. 123. The energy of formation from the pure elements is 0.614 eV/atom. Its density of states at the Fermi level is 4.781 states/eV/f.u.

=====

Density functional theory data (SCAN) for TlTc2Ru at its PBEsol-relaxed geometry.

a = 2.785 Å, b = 2.785 Å, c = 9.230 Å
α = 90.00°, β = 90.00°, γ = 117.30°
Atoms (fractional coordinates):
Tc (0.000, 0.000, 0.769)
Tc (0.000, 0.000, 0.231)
Tl (0.500, 0.500, 0.500)
Ru (0.500, 0.500, 0.000)

## Properties
As for the space-group type: No. 65. The energy of formation from the pure elements is 0.789 eV/atom. Its density of states at the Fermi level is 3.845 states/eV/f.u.